(1)
Material: Sr5AcHg6
Method: DFT, PBE
State: optimized geometry

a b c (Å): 5.656 8.104 8.928
angles (deg): 90.00 71.53 90.00
Positions (direct):
1 Sr 0.667 0.500 0.667
2 Sr 0.332 0.000 0.337
3 Sr 0.000 0.500 0.000
4 Sr 0.668 0.000 0.663
5 Sr 0.333 0.500 0.333
6 Ac 0.000 0.000 0.000
7 Hg 0.834 0.750 0.331
8 Hg 0.835 0.250 0.331
9 Hg 0.500 0.246 0.000
10 Hg 0.500 0.754 0.000
11 Hg 0.165 0.750 0.669
12 Hg 0.166 0.250 0.669

Computed properties:
calculated volume: 388.15 Å³ per cell
crystal system: orthorhombic
formation energy: -0.535 eV/atom
SG: No. 65


(2)
Material: Sr2AcHg
Method: DFT, PBE
State: optimized geometry

a b c (Å): 5.801 5.203 5.203
angles (deg): 90.00 90.00 90.00
Positions (direct):
1 Sr 0.000 0.000 0.500
2 Sr 0.000 0.500 0.000
3 Ac 0.500 0.000 0.000
4 Hg 0.500 0.500 0.500

Computed properties:
calculated volume: 157.04 Å³ per cell
crystal system: tetragonal
E above lowest polymorph: 148.9 meV per atom
formation energy: -0.065 eV/atom
SG: No. 123


(3)
Material: SrAc2Hg
Method: DFT, PBE
State: optimized geometry

a b c (Å): 4.078 4.078 10.019
angles (deg): 90.00 90.00 90.00
Positions (direct):
1 Sr 0.500 0.500 0.500
2 Ac 0.000 0.000 0.807
3 Ac 0.000 0.000 0.193
4 Hg 0.500 0.500 0.000

Computed properties:
calculated volume: 166.64 Å³ per cell
crystal system: tetragonal
E above lowest polymorph: 0.0 meV per atom
formation energy: -0.184 eV/atom
SG: No. 123


(4)
Material: Sr3Ac2Hg3
Method: DFT, PBE
State: optimized geometry

a b c (Å): 4.033 5.918 12.766
angles (deg): 103.40 99.09 90.00
Positions (direct):
1 Sr 0.386 0.386 0.771
2 Sr 0.614 0.614 0.229
3 Sr 0.500 0.000 0.000
4 Ac 0.274 0.774 0.549
5 Ac 0.726 0.226 0.451
6 Hg 0.884 0.884 0.768
7 Hg 0.000 0.500 0.000
8 Hg 0.116 0.116 0.232

Computed properties:
calculated volume: 292.48 Å³ per cell
crystal system: orthorhombic
formation energy: -0.367 eV/atom
SG: No. 71


(5)
Material: Sr2AcHg8
Method: DFT, PBE
State: optimized geometry

a b c (Å): 5.379 7.742 8.637
angles (deg): 111.20 108.14 90.00
Positions (direct):
1 Sr 0.208 0.647 0.417
2 Sr 0.792 0.353 0.583
3 Ac 0.500 0.000 0.000
4 Hg 0.675 0.893 0.351
5 Hg 0.409 0.536 0.819
6 Hg 0.149 0.151 0.299
7 Hg 0.986 0.284 0.972
8 Hg 0.851 0.849 0.701
9 Hg 0.591 0.464 0.181
10 Hg 0.325 0.107 0.649
11 Hg 0.014 0.716 0.028

Computed properties:
calculated volume: 316.07 Å³ per cell
crystal system: monoclinic
formation energy: -0.406 eV/atom
SG: No. 12


(6)
Material: Sr2Ac3Hg2
Method: DFT, PBE
State: optimized geometry

a b c (Å): 4.036 3.997 17.431
angles (deg): 90.00 96.65 90.00
Positions (direct):
1 Sr 0.305 0.500 0.610
2 Sr 0.695 0.500 0.390
3 Ac 0.419 0.500 0.838
4 Ac 0.581 0.500 0.162
5 Ac 0.000 0.000 0.000
6 Hg 0.140 0.000 0.280
7 Hg 0.860 0.000 0.720

Computed properties:
calculated volume: 279.30 Å³ per cell
crystal system: orthorhombic
formation energy: -0.277 eV/atom
SG: No. 65


(7)
Material: SrAcHg17
Method: DFT, PBE
State: optimized geometry

a b c (Å): 8.441 8.441 8.441
angles (deg): 72.32 72.32 72.32
Positions (direct):
1 Sr 0.708 0.708 0.708
2 Ac 0.293 0.293 0.293
3 Hg 0.298 0.000 0.706
4 Hg 0.706 0.298 0.000
5 Hg 0.000 0.706 0.298
6 Hg 0.298 0.706 0.000
7 Hg 0.000 0.298 0.706
8 Hg 0.706 0.000 0.298
9 Hg 0.399 0.843 0.399
10 Hg 0.399 0.399 0.843
11 Hg 0.843 0.399 0.399
12 Hg 0.574 0.205 0.574
13 Hg 0.574 0.574 0.205
14 Hg 0.205 0.574 0.574
15 Hg 0.992 0.509 0.992
16 Hg 0.992 0.992 0.509
17 Hg 0.509 0.992 0.992
18 Hg 0.903 0.903 0.903
19 Hg 0.102 0.102 0.102

Computed properties:
calculated volume: 530.89 Å³ per cell
crystal system: trigonal
formation energy: -0.154 eV/atom
SG: No. 160


(8)
Material: SrAc3Hg4
Method: DFT, PBE
State: optimized geometry

a b c (Å): 5.692 8.110 11.385
angles (deg): 90.00 90.00 90.00
Positions (direct):
1 Sr 0.000 0.500 0.000
2 Sr 0.000 0.500 0.500
3 Ac 0.000 0.000 0.000
4 Ac 0.000 0.000 0.500
5 Ac 0.500 0.000 0.750
6 Ac 0.500 0.000 0.250
7 Ac 0.500 0.500 0.750
8 Ac 0.500 0.500 0.250
9 Hg 0.500 0.749 0.000
10 Hg 0.500 0.749 0.500
11 Hg 0.500 0.251 0.000
12 Hg 0.500 0.251 0.500
13 Hg 0.000 0.749 0.750
14 Hg 0.000 0.749 0.250
15 Hg 0.000 0.251 0.250
16 Hg 0.000 0.251 0.750

Computed properties:
calculated volume: 525.48 Å³ per cell
crystal system: tetragonal
formation energy: -0.505 eV/atom
SG: No. 123


(9)
Material: Sr2AcTl2Hg2
Method: DFT, PBE
State: optimized geometry

a b c (Å): 5.189 5.189 10.829
angles (deg): 76.14 76.14 60.00
Positions (direct):
1 Sr 0.124 0.124 0.628
2 Sr 0.876 0.876 0.372
3 Ac 0.000 0.000 0.000
4 Tl 0.742 0.742 0.775
5 Tl 0.258 0.258 0.225
6 Hg 0.610 0.610 0.171
7 Hg 0.390 0.390 0.829

Computed properties:
calculated volume: 242.65 Å³ per cell
crystal system: trigonal
formation energy: -0.336 eV/atom
SG: No. 166


(10)
Material: Ac2TbHg2
Method: DFT, PBE
State: optimized geometry

a b c (Å): 4.161 6.928 6.928
angles (deg): 66.26 72.53 72.53
Positions (direct):
1 Ac 0.209 0.291 0.291
2 Ac 0.791 0.709 0.709
3 Tb 0.000 0.000 0.000
4 Hg 0.500 0.293 0.707
5 Hg 0.500 0.707 0.293

Computed properties:
calculated volume: 170.65 Å³ per cell
crystal system: orthorhombic
E above lowest polymorph: 5.8 meV per atom
formation energy: -0.330 eV/atom
SG: No. 71


(11)
Material: AcTbHg4
Method: DFT, PBE
State: optimized geometry

a b c (Å): 6.108 6.108 6.108
angles (deg): 60.00 60.00 60.00
Positions (direct):
1 Ac 0.250 0.250 0.250
2 Tb 0.000 0.000 0.000
3 Hg 0.625 0.625 0.124
4 Hg 0.625 0.124 0.625
5 Hg 0.625 0.625 0.625
6 Hg 0.124 0.625 0.625

Computed properties:
calculated volume: 161.13 Å³ per cell
crystal system: cubic
E above lowest polymorph: 137.0 meV per atom
formation energy: -0.268 eV/atom
SG: No. 216


(12)
Material: Ac2TbHg4
Method: DFT, PBE
State: optimized geometry

a b c (Å): 5.091 5.091 10.819
angles (deg): 76.39 76.39 60.00
Positions (direct):
1 Ac 0.754 0.754 0.739
2 Ac 0.246 0.246 0.261
3 Tb 0.000 0.000 0.000
4 Hg 0.861 0.861 0.418
5 Hg 0.139 0.139 0.582
6 Hg 0.637 0.637 0.090
7 Hg 0.363 0.363 0.910

Computed properties:
calculated volume: 233.74 Å³ per cell
crystal system: trigonal
formation energy: -0.362 eV/atom
SG: No. 166


(13)
Material: Ac3TbHg2
Method: DFT, PBE
State: optimized geometry

a b c (Å): 3.998 3.998 13.197
angles (deg): 90.00 90.00 90.00
Positions (direct):
1 Ac 0.000 0.000 0.000
2 Ac 0.000 0.000 0.689
3 Ac 0.000 0.000 0.311
4 Tb 0.500 0.500 0.500
5 Hg 0.500 0.500 0.841
6 Hg 0.500 0.500 0.159

Computed properties:
calculated volume: 210.92 Å³ per cell
crystal system: tetragonal
formation energy: -0.285 eV/atom
SG: No. 123